[1]
DFT (PBE-GGA) results for KSb2IBr after structural relaxation.

Geometry as extended XYZ:
```
5
Lattice="-1.748 -6.893 0.484 4.779 -0.845 5.221 -4.336 1.394 4.195" Properties=species:S:1:pos:R:3 pbc="T T T"
Sb 2.390 -0.423 2.610
Br -0.652 -3.172 4.950
Sb -0.874 -3.447 0.242
K 0.000 0.000 0.000
I -2.168 0.697 2.097
```

Calculated values
* density: 2.6 g/cm³
* E above lowest polymorph: 3.08 eV per formula unit
* energy relative to the elements, uncorrected: 0.7627 eV/atom
* symmetry: P4/mmm (123)
* crystal system: tetragonal
* magnetization: 4.99 μB/f.u.


[2]
DFT (PBE-GGA) results for Cd2SiNi after structural relaxation.

Geometry as extended XYZ:
```
4
Lattice="-1.393 6.680 -2.321 -3.781 5.407 -2.900 -1.644 1.750 2.927" Properties=species:S:1:pos:R:3 pbc="T T T"
Cd -1.900 2.500 2.338
Cd -3.153 6.169 -0.558
Ni -5.114 10.379 -1.720
Si -1.705 3.460 -0.573
```

Calculated values
* density: 7.2 g/cm³
* energy relative to the elements, uncorrected: -0.0695 eV/atom
* symmetry: Immm (71)
* crystal system: orthorhombic
* magnetization: 0.00 μB/f.u.


[3]
DFT (PBE-GGA) results for HoZrCdPb after structural relaxation.

Geometry as extended XYZ:
```
4
Lattice="5.186 0.000 0.000 2.593 4.491 0.000 2.593 1.497 4.234" Properties=species:S:1:pos:R:3 pbc="T T T"
Pb 2.593 1.497 1.059
Ho 5.186 2.994 2.117
Cd 7.778 4.491 3.176
Zr 0.000 0.000 0.000
```

Calculated values
* energy: -18.4 eV/f.u.
* density: 9.7 g/cm³
* symmetry: F-43m (216)
* crystal system: cubic
* magnetization: 0.21 μB/f.u.


[4]
DFT (PBE-GGA) results for TiBi2PtCl after structural relaxation.

Geometry as extended XYZ:
```
5
Lattice="-1.847 -4.958 -1.129 3.139 -0.428 -3.257 3.448 -2.104 3.600" Properties=species:S:1:pos:R:3 pbc="T T T"
Bi 1.724 -1.052 1.800
Cl 0.000 0.000 0.000
Ti 2.370 -3.745 -0.393
Bi -0.923 -2.479 -0.564
Pt 1.570 -0.214 -1.629
```

Calculated values
* density: 8.7 g/cm³
* energy relative to the elements, uncorrected: 0.8582 eV/atom
* symmetry: P4/mmm (123)
* crystal system: tetragonal
* magnetization: 0.17 μB/f.u.


[5]
DFT (PBE-GGA) results for NaDy2IrO5 after structural relaxation.

Geometry as extended XYZ:
```
9
Lattice="3.986 0.000 0.000 0.000 5.730 0.000 -1.993 -2.865 5.479" Properties=species:S:1:pos:R:3 pbc="T T T"
O 0.000 -1.556 3.849
O 1.993 4.421 1.630
Na 0.000 2.865 0.000
Dy 0.000 0.000 2.297
O 1.993 1.309 1.630
Dy 1.993 2.865 3.182
O 0.000 1.556 3.849
O 0.000 0.000 0.000
Ir 1.993 0.000 0.000
```

Calculated values
* density: 8.2 g/cm³
* energy relative to the elements, uncorrected: -2.2691 eV/atom
* symmetry: Immm (71)
* crystal system: orthorhombic
* magnetization: 0.00 μB/f.u.


[6]
DFT (PBE-GGA) results for Li2CdSi after structural relaxation.

Geometry as extended XYZ:
```
4
Lattice="9.477 0.037 0.022 9.023 2.897 0.022 9.023 1.431 2.519" Properties=species:S:1:pos:R:3 pbc="T T T"
Li 27.307 4.331 2.543
Cd 20.642 3.274 1.922
Li 13.977 2.217 1.301
Si 6.881 1.091 0.641
```

Calculated values
* density: 3.8 g/cm³
* energy relative to the elements, uncorrected: -0.1037 eV/atom
* symmetry: R-3m (166)
* crystal system: trigonal
* magnetization: 0.00 μB/f.u.


[7]
DFT (PBE-GGA) results for Zr2BeIr after structural relaxation.

Geometry as extended XYZ:
```
4
Lattice="-2.730 1.984 4.115 1.333 -1.644 4.883 2.504 1.895 -4.296" Properties=species:S:1:pos:R:3 pbc="T T T"
Be -0.698 0.170 4.499
Zr 0.000 0.000 0.000
Ir -0.462 2.024 2.159
Zr 1.569 0.210 2.543
```

Calculated values
* energy: -30.9 eV/f.u.
* density: 9.2 g/cm³
* symmetry: I-4m2 (119)
* crystal system: tetragonal
* magnetization: 0.00 μB/f.u.


[8]
DFT (PBE-GGA) results for Tb5Dy8Cd after structural relaxation.

Geometry as extended XYZ:
```
14
Lattice="-0.234 4.818 -6.853 7.867 -2.370 1.649 -4.832 -6.690 -1.458" Properties=species:S:1:pos:R:3 pbc="T T T"
Dy -1.484 -3.902 -5.204
Dy 3.508 -4.551 -0.036
Dy -0.055 -1.956 -2.531
Cd 0.251 -4.998 -1.982
Tb 1.805 -2.456 -5.507
Tb -2.533 -0.936 -4.155
Tb -3.959 -5.415 -3.227
Dy -2.616 -0.150 -7.187
Tb 1.811 -1.485 0.181
Tb 5.946 0.871 -4.771
Dy 5.347 -1.366 -0.046
Dy 0.217 0.650 -5.112
Dy 2.927 -5.014 -3.560
Dy 3.362 -0.682 -2.973
```

Calculated values
* energy: -58.0 eV/f.u.
* density: 8.1 g/cm³
* symmetry: I-4 (82)
* crystal system: tetragonal
* magnetization: 0.00 μB/f.u.


[9]
DFT (PBE-GGA) results for Be2IrRu after structural relaxation.

Geometry as extended XYZ:
```
4
Lattice="3.967 0.000 0.000 0.000 3.967 0.000 0.000 0.000 2.780" Properties=species:S:1:pos:R:3 pbc="T T T"
Ru 0.000 1.984 1.390
Ir 1.984 0.000 1.390
Be 1.984 1.984 0.000
Be 0.000 0.000 0.000
```

Calculated values
* energy: -27.1 eV/f.u.
* density: 11.8 g/cm³
* symmetry: P4/mmm (123)
* crystal system: tetragonal
* magnetization: 0.00 μB/f.u.


[10]
DFT (PBE-GGA) results for NaZnRe2 after structural relaxation.

Geometry as extended XYZ:
```
8
Lattice="-4.069 -1.067 -1.810 1.978 -0.617 -4.084 0.402 -9.870 -0.881" Properties=species:S:1:pos:R:3 pbc="T T T"
Re -2.937 -8.436 -2.909
Re -3.366 -3.518 -2.383
Zn -2.356 -5.889 -2.819
Na 0.667 -5.665 -3.956
Re -2.070 -3.746 -4.288
Zn 0.000 0.000 0.000
Re -1.052 -7.857 -1.696
Na -1.046 -0.842 -2.947
```

Calculated values
* energy: -21.4 eV/f.u.
* density: 7.8 g/cm³
* symmetry: I-42d (122)
* crystal system: tetragonal
* magnetization: 0.00 μB/f.u.


[11]
DFT (PBE-GGA) results for NaMnAgBr6 after structural relaxation.

Geometry as extended XYZ:
```
9
Lattice="6.433 0.000 0.000 0.000 6.977 0.000 0.000 -3.488 6.042" Properties=species:S:1:pos:R:3 pbc="T T T"
Br 1.775 4.437 4.266
Mn 3.216 0.000 0.000
Br 4.658 2.540 4.266
Br 1.775 1.064 1.709
Br 1.775 4.965 0.067
Br 4.658 5.913 1.709
Na 0.000 0.000 4.028
Br 4.658 2.012 0.067
Ag 3.216 3.488 2.014
```

Calculated values
* density: 4.1 g/cm³
* energy relative to the elements, uncorrected: -0.6760 eV/atom
* symmetry: P312 (149)
* crystal system: trigonal
* magnetization: 2.93 μB/f.u.


[12]
DFT (PBE-GGA) results for HoBO3 after structural relaxation.

Geometry as extended XYZ:
```
5
Lattice="-2.000 1.206 -3.879 -4.319 0.421 1.290 -0.367 4.483 0.515" Properties=species:S:1:pos:R:3 pbc="T T T"
O -3.305 2.656 -2.936
Ho -2.831 2.587 -0.878
B -1.059 0.968 -0.328
O -2.347 4.578 -0.359
O -4.666 2.196 0.096
```

Calculated values
* density: 4.2 g/cm³
* energy relative to the elements, uncorrected: -2.8068 eV/atom
* symmetry: R3m (160)
* crystal system: trigonal
* magnetization: 0.00 μB/f.u.